Crystalline MgVSnF6 at its relaxed geometry. Source: Alexandria, functional PBE with a Hubbard U.

Cell and atoms, written as POSCAR:
```
MgVSnF6
1.0
5.4744 0.0000 0.0000
-2.7372 4.7410 0.0000
0.0000 0.0000 10.2131
Mg V Sn F
2 2 2 12
direct
0.3333 0.6667 0.2500
0.6667 0.3333 0.7500
0.3333 0.6667 0.7500
0.6667 0.3333 0.2500
0.0000 0.0000 0.0000
0.0000 0.0000 0.5000
0.0141 0.3660 0.1424
0.0141 0.6481 0.3576
0.3519 0.3660 0.3576
0.3519 0.9859 0.1424
0.3660 0.0141 0.6424
0.3660 0.3519 0.8576
0.6340 0.6481 0.1424
0.6340 0.9859 0.3576
0.6481 0.0141 0.8576
0.6481 0.6340 0.6424
0.9859 0.3519 0.6424
0.9859 0.6340 0.8576
```

## Properties
Its total DFT energy (no corrections) is -5.503 eV per atom. Its calculated volume is 265 Å³ per cell.